Compound: InCo2PbF8
Source: Alexandria via LeMat-Bulk
Functional: PBE with a Hubbard U
Structure: relaxed

Computed properties:
space-group type: No. 2
E: -4.749 eV per atom
V: 14.9 Å³/atom

Unit cell a=4.023 b=5.386 c=8.348 alpha=84.14 beta=89.35 gamma=82.34
Atoms (fractional coordinates):
In (0.000, 0.000, 0.000)
Co (0.431, 0.454, 0.202)
Co (0.569, 0.546, 0.798)
Pb (0.000, 0.000, 0.500)
F (0.063, 0.692, 0.799)
F (0.126, 0.766, 0.253)
F (0.448, 0.263, 0.419)
F (0.448, 0.264, 0.991)
F (0.552, 0.736, 0.009)
F (0.552, 0.737, 0.581)
F (0.874, 0.234, 0.747)
F (0.937, 0.308, 0.201)